Model i:
A plane-wave DFT calculation with PBE+U was carried out for CsNpMoO6 after structural relaxation.

POSCAR file:
```
CsNpMoO6
1.0
-4.2187 -2.2674 -5.6590
5.0683 -5.8463 -1.4358
-3.1986 0.8265 6.9095
Cs Np Mo O
2 2 2 12
direct
0.8754 0.6254 0.7509 Cs
0.1246 0.3746 0.2491 Cs
0.5000 0.5000 0.0000 Np
0.5000 0.0000 0.0000 Np
0.5000 0.0000 0.5000 Mo
0.0000 0.0000 0.5000 Mo
0.4283 0.6783 0.8566 O
0.8026 0.0526 0.6052 O
0.8202 0.0586 0.2514 O
0.4312 0.6928 0.2514 O
0.4312 0.0586 0.2514 O
0.8202 0.6928 0.2514 O
0.5717 0.3217 0.1434 O
0.1974 0.9474 0.3948 O
0.1798 0.9414 0.7486 O
0.5688 0.3072 0.7486 O
0.5688 0.9414 0.7486 O
0.1798 0.3072 0.7486 O
```

Model ii:
A plane-wave DFT calculation with PBE+U was carried out for CsNpMoO6 after structural relaxation.

POSCAR file:
```
CsNpMoO6
1.0
8.7620 0.0000 0.0000
0.0000 7.6417 0.1272
0.0000 2.3996 10.4084
Cs Np Mo O
4 4 4 24
direct
0.7633 0.4569 0.3603 Cs
0.2367 0.5431 0.6397 Cs
0.2633 0.5431 0.1397 Cs
0.7367 0.4569 0.8603 Cs
0.4872 0.9872 0.3245 Np
0.5128 0.0128 0.6755 Np
0.9872 0.0128 0.1755 Np
0.0128 0.9872 0.8245 Np
0.6480 0.8872 0.0575 Mo
0.3520 0.1128 0.9425 Mo
0.1480 0.1128 0.4425 Mo
0.8520 0.8872 0.5575 Mo
0.4383 0.9614 0.1094 O
0.5617 0.0386 0.8906 O
0.9383 0.0386 0.3906 O
0.0617 0.9614 0.6094 O
0.9548 0.2552 0.1251 O
0.0452 0.7448 0.8749 O
0.4548 0.7448 0.3749 O
0.5452 0.2552 0.6251 O
0.5154 0.2297 0.2701 O
0.4846 0.7703 0.7299 O
0.0154 0.7703 0.2299 O
0.9846 0.2297 0.7701 O
0.6385 0.6552 0.0722 O
0.3615 0.3448 0.9278 O
0.1385 0.3448 0.4278 O
0.8615 0.6552 0.5722 O
0.7137 0.9424 0.2184 O
0.2863 0.0576 0.7816 O
0.2137 0.0576 0.2816 O
0.7863 0.9424 0.7184 O
0.6492 0.9751 0.4916 O
0.3508 0.0249 0.5084 O
0.1492 0.0249 0.0084 O
0.8508 0.9751 0.9916 O
```

Stability summary: most stable model ii, least stable model i.

Model i:
A plane-wave DFT calculation with PBE+U was carried out for Cs2MoO4 after structural relaxation.

POSCAR file:
```
Cs2MoO4
1.0
6.7737 0.0000 0.0000
0.0000 8.7055 0.0000
0.0000 0.0000 11.7765
Cs Mo O
8 4 16
direct
0.2500 0.1759 0.9261 Cs
0.2500 0.6759 0.5739 Cs
0.7500 0.8241 0.0739 Cs
0.7500 0.3241 0.4261 Cs
0.2500 0.5086 0.2091 Cs
0.2500 0.0086 0.2909 Cs
0.7500 0.4914 0.7909 Cs
0.7500 0.9914 0.7091 Cs
0.2500 0.7185 0.9148 Mo
0.2500 0.2185 0.5852 Mo
0.7500 0.2815 0.0852 Mo
0.7500 0.7815 0.4148 Mo
0.2500 0.5143 0.9382 O
0.2500 0.0143 0.5618 O
0.7500 0.4857 0.0618 O
0.7500 0.9857 0.4382 O
0.2500 0.8170 0.0496 O
0.2500 0.3170 0.4504 O
0.7500 0.1830 0.9504 O
0.7500 0.6830 0.5496 O
0.0322 0.7714 0.8361 O
0.4678 0.2714 0.6639 O
0.5322 0.2286 0.1639 O
0.9678 0.7286 0.3361 O
0.9678 0.2286 0.1639 O
0.5322 0.7286 0.3361 O
0.4678 0.7714 0.8361 O
0.0322 0.2714 0.6639 O
```

Model ii:
A plane-wave DFT calculation with PBE+U was carried out for Cs2MoO4 after structural relaxation.

POSCAR file:
```
Cs2MoO4
1.0
-1.8645 1.9401 6.3081
-2.2338 -7.8561 1.7559
13.2979 -2.7160 4.7657
Cs Mo O
8 4 16
direct
0.2500 0.3989 0.8322 Cs
0.7500 0.8989 0.6678 Cs
0.2500 0.1011 0.3322 Cs
0.7500 0.6011 0.1678 Cs
0.2500 0.8547 0.9520 Cs
0.7500 0.3547 0.5480 Cs
0.2500 0.6453 0.4520 Cs
0.7500 0.1453 0.0480 Cs
0.2500 0.3490 0.1054 Mo
0.7500 0.8490 0.3946 Mo
0.2500 0.1510 0.6054 Mo
0.7500 0.6510 0.8946 Mo
0.2500 0.5483 0.0585 O
0.7500 0.0483 0.4415 O
0.2500 0.9517 0.5585 O
0.7500 0.4517 0.9415 O
0.2500 0.2042 0.0115 O
0.7500 0.7042 0.4885 O
0.2500 0.2958 0.5115 O
0.7500 0.7958 0.9885 O
0.9634 0.6835 0.8242 O
0.0366 0.1835 0.6758 O
0.5366 0.8165 0.3242 O
0.4634 0.3165 0.1758 O
0.0366 0.3165 0.1758 O
0.9634 0.8165 0.3242 O
0.4634 0.1835 0.6758 O
0.5366 0.6835 0.8242 O
```

Stability summary: most stable model i, least stable model ii.

Model i:
A plane-wave DFT calculation with PBE+U was carried out for Cs3MoO4 after structural relaxation.

POSCAR file:
```
Cs3MoO4
1.0
-0.7397 5.6598 -3.5773
-2.0932 -5.8919 -2.5063
-3.8027 -0.7744 5.5061
Cs Mo O
3 1 4
direct
0.5372 0.2352 0.7724 Cs
0.0541 0.0000 0.0541 Cs
0.5372 0.7648 0.3019 Cs
0.0084 0.5000 0.5084 Mo
0.1371 0.6753 0.8124 O
0.1371 0.3247 0.4618 O
0.6306 0.2605 0.3701 O
0.1096 0.7395 0.3701 O
```

Model ii:
A plane-wave DFT calculation with PBE+U was carried out for Cs3MoO4 after structural relaxation.

POSCAR file:
```
Cs3MoO4
1.0
-5.7019 -1.8792 -3.1167
2.2513 -7.1307 0.1809
-4.0085 -1.0632 7.9745
Cs Mo O
6 2 8
direct
0.5222 0.8641 0.0000 Cs
0.0122 0.6750 0.2394 Cs
0.5122 0.3250 0.2606 Cs
0.0222 0.1359 0.5000 Cs
0.5122 0.3250 0.7394 Cs
0.0122 0.6750 0.7606 Cs
0.9975 0.1823 0.0000 Mo
0.4975 0.8177 0.5000 Mo
0.0875 0.9445 0.0000 O
0.7222 0.2173 0.0000 O
0.0808 0.2821 0.1809 O
0.5808 0.7179 0.3191 O
0.2222 0.7827 0.5000 O
0.5875 0.0555 0.5000 O
0.5808 0.7179 0.6809 O
0.0808 0.2821 0.8191 O
```

Stability summary: most stable model ii, least stable model i.